Record 1
Computed, not measured: crystalline Cr5W11 at its relaxed geometry at the PBE level of DFT.

The uncorrected energy comes out at -11.84 eV/atom. The formation energy comes out at 77 meV/atom.

Cell: 6.1980 6.2055 6.2081 Å, 90.00 90.24 90.00°
Closest atoms and distances in Å follow each position.
Space group Pm (No. 6)
Asymmetric unit:
Cr: 0.0000 0.0000 0.0000  2 Cr 2.65, 6 W 2.66-2.71
Cr: 0.0002 0.0000 0.4921  2 Cr 2.64, 6 W 2.65-2.68
Cr: 0.5034 0.5000 0.4945  6 W 2.69-2.71, 2 Cr 2.69
Cr: 0.7541 0.2474 0.2468  5 W 2.64-2.66, 3 Cr 2.64-2.69
W: 0.2486 0.2471 0.2481  3 Cr 2.65-2.70, 5 W 2.68-2.71
W: 0.2504 0.2476 0.7434  3 Cr 2.68-2.71, 5 W 2.72-2.75
W: 0.5073 0.5000 0.0031  2 Cr 2.66, 6 W 2.71-2.75
W: 0.5093 0.0000 0.0007  2 Cr 2.64, 6 W 2.70-2.73
W: 0.5094 0.0000 0.4901  2 Cr 2.64, 6 W 2.67-2.73
W: 0.7551 0.2476 0.7426  3 Cr 2.67-2.69, 5 W 2.67-2.73
W: 0.9950 0.5000 0.4900  2 Cr 2.64, 6 W 2.67-2.72
W: 0.9976 0.5000 0.0002  2 Cr 2.66, 6 W 2.69-2.73

***

Record 2
Computed, not measured: crystalline CrW3 at its relaxed geometry at the PBE level of DFT.

The uncorrected energy comes out at -11.84 eV/atom. The formation energy comes out at 276 meV/atom.

Cell: 5.2881 8.7997 5.2941 Å, 90.00 90.00 90.00°
Closest atoms and distances in Å follow each position.
Space group Pnma (No. 62)
Asymmetric unit:
Cr: 0.9999 0.2500 0.9995  8 W 2.64-2.69
W: 0.9999 0.2500 0.4994  4 Cr 2.64-2.65, 4 W 2.72
W: 0.2435 0.9999 0.1616  6 W 2.65-2.80, 2 Cr 2.69

***

Record 3
Computed, not measured: crystalline CrW2 at its relaxed geometry at the PBE level of DFT.

Its distance to the lowest polymorph of the same formula is 743 meV/atom. The uncorrected energy comes out at -11.05 eV/atom. The formation energy comes out at 797 meV/atom.

Cell: 2.7536 2.7536 14.2522 Å, 90.00 90.00 120.00°
Closest atoms and distances in Å follow each position.
Space group P6_3/mmc (No. 194)
Asymmetric unit:
Cr: 0.3333 0.6667 0.2500  6 W 2.74, 6 Cr 2.75
W: 0.0000 0.0000 0.0937  7 W 2.67-2.75, 3 Cr 2.74

***

Record 4
Computed, not measured: crystalline CrW3 at its relaxed geometry at the PBE level of DFT.

The uncorrected energy comes out at -12.06 eV/atom. The formation energy comes out at 59 meV/atom.

Cell: 4.4006 4.4006 3.1333 Å, 90.00 90.00 90.00°
Closest atoms and distances in Å follow each position.
Space group P4/mmm (No. 123)
Asymmetric unit:
Cr: 0.0000 0.0000 0.0000  8 W 2.70
W: 0.0000 0.5000 0.5000  4 Cr 2.70, 4 W 2.70
W: 0.5000 0.5000 0.0000  8 W 2.70

***

Record 5
Computed, not measured: crystalline CrW5 at its relaxed geometry at the PBE level of DFT.

Its distance to the lowest polymorph of the same formula is 3 meV/atom. The uncorrected energy comes out at -12.36 eV/atom. The formation energy comes out at 43 meV/atom.

Cell: 9.9253 3.1449 6.2877 Å, 90.00 108.48 90.00°
Closest atoms and distances in Å follow each position.
Space group C2/m (No. 12)
Asymmetric unit:
Cr: 0.0000 0.0000 0.0000  8 W 2.69-2.70
W: 0.0000 0.0000 0.5000  8 W 2.73
W: 0.1645 0.5000 0.3274  2 Cr 2.69, 6 W 2.73-2.78
W: 0.1651 0.5000 0.8369  2 Cr 2.70, 6 W 2.71-2.74

***

Record 6
Computed, not measured: crystalline Cr3W5 at its relaxed geometry at the PBE level of DFT.

Its distance to the lowest polymorph of the same formula is 197 meV/atom. The uncorrected energy comes out at -11.42 eV/atom. The formation energy comes out at 280 meV/atom.

Cell: 7.3088 7.3088 5.1143 Å, 90.00 90.00 120.00°
Closest atoms and distances in Å follow each position.
Space group P6_3/mcm (No. 193)
Asymmetric unit:
Cr: 0.0000 0.4018 0.2500  9 W 2.56-2.83
W: 0.0000 0.2361 0.7500  5 Cr 2.56-2.83
W: 0.3333 0.6667 0.0000  2 W 2.56, 6 Cr 2.57